Record 1
{"formula": "NaMoS3", "functional": "PBE", "state": "relaxed", "e_above_lowest_polymorph_mev_per_atom": 1953.1, "m_tot_mub_per_atom": 0.20, "sg": "Pm-3m (221)", "e_tot_ev_per_atom": -3.69, "e_form_raw_ev_per_fu": 6.1, "lattice_angstrom": [[4.7938, 0.0000, 0.0000], [0.0000, 4.7938, 0.0000], [0.0000, 0.0000, 4.7938]], "species": ["Na", "Mo", "S", "S", "S"], "fractional_positions": [[0.0000, 0.0000, 0.0000], [0.5000, 0.5000, 0.5000], [0.0000, 0.0000, 0.5000], [0.0000, 0.5000, 0.0000], [0.5000, 0.0000, 0.0000]]}

=====

Record 2
{"formula": "NaMoS2", "functional": "PBE", "state": "relaxed", "m_tot_mub_per_atom": 0.00, "sg": "P2_1/m (11)", "e_tot_ev_per_atom": -5.77, "e_form_raw_ev_per_fu": -2.7, "lattice_angstrom": [[4.7749, 0.0000, 0.0000], [0.0000, 3.5869, 0.0000], [-1.0419, 0.0000, 9.7672]], "species": ["Na", "Na", "Mo", "Mo", "S", "S", "S", "S"], "fractional_positions": [[0.2202, 0.2500, 0.3752], [0.7798, 0.7500, 0.6248], [0.4494, 0.2500, 0.8914], [0.5506, 0.7500, 0.1086], [0.2225, 0.2500, 0.0911], [0.2733, 0.2500, 0.6643], [0.7267, 0.7500, 0.3357], [0.7775, 0.7500, 0.9089]]}

=====

Record 3
{"formula": "Na3Sm3MoS8", "functional": "PBE", "state": "relaxed", "m_tot_mub_per_atom": 0.13, "sg": "R-3m (166)", "e_tot_ev_per_atom": -5.61, "e_form_raw_ev_per_fu": -22.2, "lattice_angstrom": [[3.9628, 2.2879, 6.7681], [-3.9628, 2.2879, 6.7681], [0.0000, -4.5758, 6.7681]], "species": ["Na", "Na", "Na", "Sm", "Sm", "Sm", "Mo", "S", "S", "S", "S", "S", "S", "S", "S"], "fractional_positions": [[0.0000, 0.5000, 0.5000], [0.5000, 0.0000, 0.5000], [0.5000, 0.5000, 0.0000], [0.0000, 0.0000, 0.5000], [0.0000, 0.5000, 0.0000], [0.5000, 0.0000, 0.0000], [0.5000, 0.5000, 0.5000], [0.2446, 0.2446, 0.2446], [0.2703, 0.7217, 0.7217], [0.2783, 0.2783, 0.7297], [0.2783, 0.7297, 0.2783], [0.7217, 0.2703, 0.7217], [0.7217, 0.7217, 0.2703], [0.7297, 0.2783, 0.2783], [0.7554, 0.7554, 0.7554]]}